# 1
Density functional theory data (PBE) for an optimized crystal structure of Y2OsPt4.

```
data_Y2OsPt4
_chemical_formula_sum 'Y2 Os1 Pt4'
_cell_length_a 4.824
_cell_length_b 4.824
_cell_length_c 7.943
_cell_angle_alpha 72.32
_cell_angle_beta 72.32
_cell_angle_gamma 90.00
_symmetry_space_group_name_H-M 'P 1'
_symmetry_Int_Tables_number 1
_symmetry_space_group_name_Hall 'P 1'
loop_
_atom_site_label
_atom_site_fract_x
_atom_site_fract_y
_atom_site_fract_z
_atom_site_occupancy
Y1 0.635 0.635 0.730 1
Y2 0.365 0.365 0.270 1
Os1 0.000 0.000 0.000 1
Pt1 0.822 0.822 0.356 1
Pt2 0.178 0.178 0.644 1
Pt3 0.000 0.500 0.000 1
Pt4 0.500 0.000 0.000 1
```

Properties
* energy relative to the elements: 1.7 kJ/mol of atoms
* SG: I4/mmm, No. 139
* V: 23.84 A^3/atom

# 2
Density functional theory data (PBE) for an optimized crystal structure of CaLa2InIr.

```
data_CaLa2InIr
_chemical_formula_sum 'Ca1 La2 In1 Ir1'
_cell_length_a 5.531
_cell_length_b 5.531
_cell_length_c 5.584
_cell_angle_alpha 90.00
_cell_angle_beta 90.00
_cell_angle_gamma 90.00
_symmetry_space_group_name_H-M 'P 1'
_symmetry_Int_Tables_number 1
_symmetry_space_group_name_Hall 'P 1'
loop_
_atom_site_label
_atom_site_fract_x
_atom_site_fract_y
_atom_site_fract_z
_atom_site_occupancy
Ca1 0.000 0.000 0.500 1
Ir1 0.000 0.000 0.000 1
In1 0.500 0.500 0.500 1
La1 0.000 0.500 0.000 1
La2 0.500 0.000 0.000 1
```

Properties
* energy relative to the elements: -42.1 kJ/mol of atoms
* offset from the most stable computed form: 0.000 eV per atom
* SG: P4/mmm, No. 123
* V: 34.17 A^3/atom

# 3
Density functional theory data (PBE) for an optimized crystal structure of PrTmCuAu.

```
data_PrTmCuAu
_chemical_formula_sum 'Pr1 Tm1 Cu1 Au1'
_cell_length_a 3.808
_cell_length_b 4.542
_cell_length_c 5.867
_cell_angle_alpha 90.00
_cell_angle_beta 108.94
_cell_angle_gamma 90.00
_symmetry_space_group_name_H-M 'P 1'
_symmetry_Int_Tables_number 1
_symmetry_space_group_name_Hall 'P 1'
loop_
_atom_site_label
_atom_site_fract_x
_atom_site_fract_y
_atom_site_fract_z
_atom_site_occupancy
Pr1 0.858 0.500 0.717 1
Tm1 0.137 0.000 0.274 1
Cu1 0.424 0.000 0.848 1
Au1 0.580 0.500 0.161 1
```

Properties
* energy relative to the elements: -49.2 kJ/mol of atoms
* offset from the most stable computed form: 0.000 eV per atom
* SG: Amm2, No. 38
* V: 23.99 A^3/atom

# 4
Density functional theory data (PBE) for an optimized crystal structure of Be2GaRhN.

```
data_Be2GaRhN
_chemical_formula_sum 'Be2 Ga1 Rh1 N1'
_cell_length_a 4.341
_cell_length_b 3.585
_cell_length_c 4.341
_cell_angle_alpha 90.00
_cell_angle_beta 90.00
_cell_angle_gamma 90.00
_symmetry_space_group_name_H-M 'P 1'
_symmetry_Int_Tables_number 1
_symmetry_space_group_name_Hall 'P 1'
loop_
_atom_site_label
_atom_site_fract_x
_atom_site_fract_y
_atom_site_fract_z
_atom_site_occupancy
Be1 0.000 0.000 0.500 1
Be2 0.500 0.000 0.000 1
Rh1 0.500 0.500 0.500 1
Ga1 0.000 0.000 0.000 1
N1 0.000 0.500 0.000 1
```

Properties
* E: -3.897 eV/atom
* SG: P4/mmm, No. 123
* V: 13.51 A^3/atom

# 5
Density functional theory data (PBE) for an optimized crystal structure of Tm2Tl3CdTe6.

```
data_Tm2Tl3CdTe6
_chemical_formula_sum 'Tm2 Tl3 Cd1 Te6'
_cell_length_a 7.684
_cell_length_b 7.684
_cell_length_c 8.302
_cell_angle_alpha 98.84
_cell_angle_beta 98.84
_cell_angle_gamma 120.13
_symmetry_space_group_name_H-M 'P 1'
_symmetry_Int_Tables_number 1
_symmetry_space_group_name_Hall 'P 1'
loop_
_atom_site_label
_atom_site_fract_x
_atom_site_fract_y
_atom_site_fract_z
_atom_site_occupancy
Tm1 0.333 0.667 0.000 1
Tm2 0.667 0.333 0.000 1
Tl1 0.169 0.831 0.500 1
Tl2 0.831 0.169 0.500 1
Tl3 0.500 0.500 0.500 1
Cd1 0.000 0.000 0.000 1
Te1 0.929 0.593 0.785 1
Te2 0.736 0.736 0.215 1
Te3 0.071 0.407 0.215 1
Te4 0.593 0.929 0.785 1
Te5 0.264 0.264 0.785 1
Te6 0.407 0.071 0.215 1
```

Properties
* E: -3.726 eV/atom
* SG: C2/m, No. 12
* V: 33.62 A^3/atom